(1)
Compound: MgAgOs
Source: the Alexandria database
Functional: PBE
Structure: relaxed

size of the total moment	1.874	μB/f.u.
space group	F-43m, No. 216
ΔE to the lowest computed polymorph	765	meV/atom
DOS(E_F)	1.015	states/eV/atom

Cell: 4.443 4.443 4.443 Å, 60.00 60.00 60.00°
Sites, in units of the cell vectors:
1 Ag 0.000 0.000 0.000
2 Mg 0.500 0.500 0.500
3 Os 0.750 0.750 0.750

(2)
Compound: Be5Ir4Ru
Source: the Alexandria database
Functional: PBE
Structure: relaxed

size of the total moment	0.001	μB/f.u.
space group	P4/mmm, No. 123
raw total energy	-6.82	eV/atom
DOS(E_F)	0.816	states/eV/atom

Cell: 2.804 2.804 14.003 Å, 90.00 90.00 90.00°
Sites, in units of the cell vectors:
1 Be 0.500 0.500 0.103
2 Be 0.500 0.500 0.299
3 Be 0.500 0.500 0.500
4 Be 0.500 0.500 0.701
5 Be 0.500 0.500 0.897
6 Ir 0.000 0.000 0.199
7 Ir 0.000 0.000 0.400
8 Ir 0.000 0.000 0.600
9 Ir 0.000 0.000 0.801
10 Ru 0.000 0.000 0.000

(3)
Compound: LiMgTlCd
Source: the Alexandria database
Functional: PBE
Structure: relaxed

size of the total moment	0.000	μB/f.u.
space group	F-43m, No. 216
raw total energy	-1.84	eV/atom
DOS(E_F)	0.517	states/eV/atom

Cell: 4.964 4.964 4.964 Å, 60.00 60.00 60.00°
Sites, in units of the cell vectors:
1 Tl 0.250 0.250 0.250
2 Li 0.000 0.000 0.000
3 Mg 0.500 0.500 0.500
4 Cd 0.750 0.750 0.750